1.
Here is RbNaLi6Si2O8 after structural relaxation from Alexandria via LeMat-Bulk. Energies are from GGA-PBEsol.

## Properties
V: 10.6 A^3/atom
VASP energy: -0.2242 hartree per atom

extended XYZ file:
```
36
Lattice="6.3012 0.0000 0.0000 0.0000 7.7647 0.0051 -3.1506 -0.0730 7.8129" Properties=species:S:1:pos:R:3 pbc="T T T"
O 1.7634 3.0074 1.6094
O 1.3856 6.1548 3.0440
O 0.0000 1.9578 7.2967
O 0.0000 6.9307 6.0111
O 4.5379 3.0074 1.6094
O 3.1506 7.1761 5.7391
O 3.1506 5.7339 0.5213
O 3.1506 1.7665 7.0151
O 0.0000 0.5156 2.0789
O 1.3872 4.6843 6.2087
O -1.7650 1.5369 4.7741
O 3.1506 0.7610 1.8069
O 1.7650 1.5369 4.7741
O 0.0000 5.9252 0.8030
O 4.9156 6.1548 3.0440
O -1.3872 4.6843 6.2087
Si 3.1506 2.2644 1.1121
Si 0.0000 6.6462 2.2941
Si 3.1506 1.0455 5.5240
Si 0.0000 5.4273 6.7060
Rb 3.1506 4.0694 3.9842
Rb 0.0000 3.6224 3.8338
Li 3.1506 5.4877 6.7599
Li 1.5572 2.8240 6.6468
Li 4.6822 1.1003 2.9110
Li 4.7078 4.8677 1.1713
Li 3.1506 6.6942 2.2335
Li -1.5316 6.5914 4.9070
Li -1.5572 2.8240 6.6468
Li 1.6190 1.1003 2.9110
Li 0.0000 0.9975 5.5845
Li 0.0000 2.2040 1.0581
Li 1.5934 4.8677 1.1713
Li 1.5316 6.5914 4.9070
Na 4.7188 0.0000 0.0000
Na 1.5825 0.0000 0.0000
```

=====

2.
Here is MgC3 after structural relaxation from Alexandria via LeMat-Bulk. Energies are from GGA-PBEsol.

## Properties
V: 9.7 A^3/atom
VASP energy: -0.2111 hartree per atom
ΔH_f (0 K): 1.92 eV/atom

extended XYZ file:
```
4
Lattice="-2.2776 -0.8343 -1.7299 -1.6179 -0.6127 2.4255 -1.5231 4.1111 0.0226" Properties=species:S:1:pos:R:3 pbc="T T T"
Mg -2.7092 1.3321 0.3591
C -1.9477 -0.7235 0.3478
C -0.2317 0.6256 0.0034
C -1.2913 3.4856 0.0192
```

=====

3.
Here is Cu2MoW after structural relaxation from Alexandria via LeMat-Bulk. Energies are from GGA-PBEsol.

## Properties
V: 13.4 A^3/atom
VASP energy: -0.3037 hartree per atom
ΔH_f (0 K): 0.30 eV/atom

extended XYZ file:
```
4
Lattice="-2.8693 -1.0636 2.0077 -1.1770 -2.0706 -2.7790 2.1285 -3.0933 1.4033" Properties=species:S:1:pos:R:3 pbc="T T T"
Mo -0.9589 -3.1137 0.3160
Cu -1.4347 -0.5318 1.0039
Cu -0.5885 -1.0353 -1.3895
W 1.0642 -1.5466 0.7016
```

=====

4.
Here is YTa4Sb after structural relaxation from Alexandria via LeMat-Bulk. Energies are from GGA-PBEsol.

## Properties
V: 20.6 A^3/atom
VASP energy: -0.3676 hartree per atom

extended XYZ file:
```
6
Lattice="-2.0835 5.0047 -1.3857 -0.6408 1.3695 -5.3872 -5.1313 0.3831 -2.1980" Properties=species:S:1:pos:R:3 pbc="T T T"
Ta -3.2789 3.2217 -6.0277
Ta -3.9865 5.0047 -4.0651
Ta -2.9646 2.5500 -3.3854
Ta -5.4813 2.7379 -4.4635
Sb 0.0000 0.0000 0.0000
Y -5.8917 5.0679 -6.7281
```

=====

5.
Here is FeAsPt after structural relaxation from Alexandria via LeMat-Bulk. Energies are from GGA-PBEsol.

## Properties
V: 15.6 A^3/atom
VASP energy: -0.2565 hartree per atom
ΔH_f (0 K): 0.03 eV/atom

extended XYZ file:
```
3
Lattice="4.0491 0.0000 0.0000 2.0246 3.5066 0.0000 2.0246 1.1689 3.3061" Properties=species:S:1:pos:R:3 pbc="T T T"
Fe 2.0246 1.1689 0.8265
Pt 0.0000 0.0000 0.0000
As 4.0491 2.3378 1.6530
```

=====

6.
Here is MgTl2Ag2 after structural relaxation from Alexandria via LeMat-Bulk. Energies are from GGA-PBEsol.

## Properties
V: 23.2 A^3/atom
VASP energy: -0.0951 hartree per atom
ΔH_f (0 K): 0.13 eV/atom

extended XYZ file:
```
5
Lattice="-3.6362 0.4744 0.9099 0.6277 -1.6221 3.3540 3.2520 7.8494 1.0596" Properties=species:S:1:pos:R:3 pbc="T T T"
Tl -1.1348 0.9643 2.8067
Tl 1.3783 5.7374 2.5168
Mg 0.0000 0.0000 0.0000
Ag -0.9442 3.8749 2.0507
Ag 1.1877 2.8267 3.2728
```

=====

7.
Here is SiMo2Cl after structural relaxation from Alexandria via LeMat-Bulk. Energies are from GGA-PBEsol.

## Properties
V: 16.2 A^3/atom
VASP energy: -0.2567 hartree per atom

extended XYZ file:
```
8
Lattice="6.3606 0.0000 0.0000 -3.1803 4.3653 1.1290 0.0000 3.2143 5.4886" Properties=species:S:1:pos:R:3 pbc="T T T"
Mo 1.5901 1.4286 0.8581
Mo -1.7179 6.0865 5.6493
Mo 1.7179 4.4794 2.9050
Mo 4.7704 3.1649 3.8229
Si 0.0000 2.9862 1.9367
Si 3.1803 1.6072 2.7443
Cl 0.0000 0.0000 0.0000
Cl 3.1803 4.5934 4.6810
```

=====

8.
Here is Zr2CdMo after structural relaxation from Alexandria via LeMat-Bulk. Energies are from GGA-PBEsol.

## Properties
V: 19.4 A^3/atom
VASP energy: -0.2823 hartree per atom
ΔH_f (0 K): 0.10 eV/atom

extended XYZ file:
```
4
Lattice="2.9412 0.0000 0.0886 0.0000 4.9146 0.0000 -0.8987 0.0000 5.3376" Properties=species:S:1:pos:R:3 pbc="T T T"
Zr 2.0315 0.0000 5.1081
Zr 2.0378 2.4573 1.5916
Cd 0.6666 0.0000 2.5291
Mo 0.3704 2.4573 4.3367
```

=====

9.
Here is MnAsOs2 after structural relaxation from Alexandria via LeMat-Bulk. Energies are from GGA-PBEsol.

## Properties
V: 13.9 A^3/atom
VASP energy: -0.3514 hartree per atom
ΔH_f (0 K): 0.26 eV/atom

extended XYZ file:
```
4
Lattice="-2.0295 -0.8846 -1.7397 2.9054 -3.1416 -1.7921 -0.5913 -2.0131 3.9920" Properties=species:S:1:pos:R:3 pbc="T T T"
Os 0.3724 -3.8846 -0.7378
Os -0.0878 -2.1547 1.1980
Mn 1.4527 -1.5708 -0.8960
As -1.0148 -0.4423 -0.8698
```

=====

10.
Here is AgRuIN2 after structural relaxation from Alexandria via LeMat-Bulk. Energies are from GGA-PBEsol.

## Properties
V: 17.1 A^3/atom
VASP energy: -0.2086 hartree per atom

extended XYZ file:
```
5
Lattice="3.8289 0.0000 0.0000 0.0000 3.8289 0.0000 0.0000 0.0000 5.8225" Properties=species:S:1:pos:R:3 pbc="T T T"
N 0.0000 1.9144 0.0000
N 1.9144 0.0000 0.0000
Ru 0.0000 0.0000 0.0000
Ag 1.9144 1.9144 2.9112
I 0.0000 0.0000 2.9112
```

=====

11.
Here is ZrHg3Te after structural relaxation from Alexandria via LeMat-Bulk. Energies are from GGA-PBEsol.

## Properties
V: 31.4 A^3/atom
VASP energy: -0.0680 hartree per atom

extended XYZ file:
```
5
Lattice="5.3973 0.0000 0.0000 0.0000 5.3973 0.0000 0.0000 0.0000 5.3973" Properties=species:S:1:pos:R:3 pbc="T T T"
Hg 0.0000 0.0000 2.6987
Hg 2.6987 0.0000 0.0000
Hg 0.0000 2.6987 0.0000
Zr 2.6987 2.6987 2.6987
Te 0.0000 0.0000 0.0000
```

=====

12.
Here is LiMgMn after structural relaxation from Alexandria via LeMat-Bulk. Energies are from GGA-PBEsol.

## Properties
V: 21.8 A^3/atom
VASP energy: -0.1327 hartree per atom
ΔH_f (0 K): 0.87 eV/atom

extended XYZ file:
```
3
Lattice="4.5235 0.0000 0.0000 2.2618 3.9175 0.0000 2.2618 1.3058 3.6934" Properties=species:S:1:pos:R:3 pbc="T T T"
Mn 0.0000 0.0000 0.0000
Mg 2.2618 1.3058 0.9234
Li 4.5235 2.6117 1.8467
```